Record 1
## MoPAu (PBE)

Data for crystalline MoPAu at its relaxed geometry.

Results
- Energy relative to the elements: 0.0832 eV/atom
- Magnetization: 0.00 μB/cell
- Offset from the most stable computed form: 54 meV per atom
- E_tot: -0.4721 Ry per atom
- Space group: P3m1 (156)

Cell lengths 2.991, 2.991, 6.407 Å; angles 90.00, 90.00, 120.00 degrees
Fractional coordinates of all 3 atoms:
1 Mo 0.333 0.667 0.368
2 P 0.667 0.333 0.629
3 Au 0.000 0.000 0.003


Record 2
## Tb6Mg2Cd (PBE)

Data for crystalline Tb6Mg2Cd at its relaxed geometry.

Results
- Energy relative to the elements: -0.0529 eV/atom
- Magnetization: 0.00 μB/cell
- E_tot: -0.2643 Ry per atom
- Space group: P4_2/mnm (136)

Cell lengths 5.139, 10.108, 10.109 Å; angles 90.00, 90.01, 90.00 degrees
Fractional coordinates of all 18 atoms:
1 Tb 0.000 0.017 0.173
2 Tb 0.000 0.673 0.517
3 Tb 0.000 0.630 0.870
4 Tb 0.500 0.130 0.630
5 Tb 0.500 0.173 0.983
6 Tb 0.500 0.517 0.327
7 Tb 0.000 0.983 0.827
8 Tb 0.000 0.327 0.483
9 Tb 0.000 0.370 0.130
10 Tb 0.500 0.870 0.370
11 Tb 0.500 0.827 0.017
12 Tb 0.500 0.483 0.673
13 Mg 0.000 0.307 0.807
14 Mg 0.500 0.807 0.693
15 Mg 0.500 0.193 0.307
16 Mg 0.000 0.693 0.193
17 Cd 0.500 0.500 0.000
18 Cd 0.000 0.000 0.500


Record 3
## TbPrCd6 (PBE)

Data for crystalline TbPrCd6 at its relaxed geometry.

Results
- Energy relative to the elements: -0.2944 eV/atom
- Magnetization: 0.00 μB/cell
- E_tot: -0.1585 Ry per atom
- Space group: Amm2 (38)

Cell lengths 4.936, 6.643, 6.643 Å; angles 114.59, 90.00, 90.00 degrees
Fractional coordinates of all 8 atoms:
1 Tb 0.000 0.109 0.891
2 Pr 0.500 0.390 0.610
3 Cd 0.000 0.055 0.373
4 Cd 0.000 0.627 0.945
5 Cd 0.000 0.582 0.418
6 Cd 0.500 0.438 0.124
7 Cd 0.500 0.876 0.562
8 Cd 0.500 0.924 0.076